No. 1
Density functional theory data (PBE) for an optimized crystal structure of Tb2PmHg8.

```
11
Lattice="4.897 0.000 -1.487 -0.916 6.782 -3.016 -0.064 -0.309 8.595" Properties=species:S:1:pos:R:3 pbc="T T T"
Tb 0.284 4.578 0.936
Tb 3.633 1.895 3.157
Pm 2.448 0.000 -0.743
Hg 2.372 5.742 -0.995
Hg 1.159 3.594 3.816
Hg 0.605 0.969 1.992
Hg 4.564 1.680 6.223
Hg 3.312 5.504 2.101
Hg 2.758 2.879 0.277
Hg 1.545 0.731 5.087
Hg -0.647 4.793 -2.131
```

Theoretical density, g/cm3: 12.3
Polymorph energy (0 for the lowest one), eV per formula unit: 0.13
Space group: Immm

No. 2
Density functional theory data (PBE) for an optimized crystal structure of SrV2Ga2.

```
10
Lattice="-7.797 1.817 -0.685 -1.930 -6.936 3.569 0.074 1.250 2.470" Properties=species:S:1:pos:R:3 pbc="T T T"
Sr 0.000 0.000 0.000
Sr -4.864 -2.559 1.442
Ga -2.668 -3.758 3.535
Ga -6.841 -3.837 3.701
Ga -6.985 -0.110 1.819
Ga -2.812 -0.032 1.654
V -4.802 -5.487 2.922
V -8.143 -2.574 1.548
V -4.925 0.368 -0.038
V -1.584 -2.544 1.336
```

Theoretical density, g/cm3: 6.1
Polymorph energy (0 for the lowest one), eV per formula unit: 0.00
Space group: P4/mbm